Record 1
DFT (PBE-GGA) results for Mn2ZnS4 after structural relaxation.

Output
Spin magnetization: 15.48 μB/cell
ΔE to the lowest computed polymorph: 0 meV per atom
Formation energy without anion corrections: -0.59 eV per atom
Fermi-level density of states: 7.078 states/eV/cell
Space group: Fd-3m, No. 227

Cell: 7.149 7.149 7.149 Å, 60.00 60.00 60.00°
Element x y z (fractional)
Mn 0.000 0.000 0.000
Mn 0.000 0.000 0.500
Mn 0.000 0.500 0.000
Mn 0.500 0.000 0.000
Zn 0.375 0.375 0.375
Zn 0.625 0.625 0.625
S 0.223 0.759 0.759
S 0.241 0.241 0.241
S 0.241 0.241 0.777
S 0.241 0.777 0.241
S 0.759 0.223 0.759
S 0.759 0.759 0.223
S 0.759 0.759 0.759
S 0.777 0.241 0.241



Record 2
DFT (PBE-GGA) results for LaYMn2 after structural relaxation.

Output
Spin magnetization: 0.01 μB/cell
ΔE to the lowest computed polymorph: 0 meV per atom
Fermi-level density of states: 6.360 states/eV/cell
Space group: R3m, No. 160

Cell: 8.106 8.106 8.106 Å, 26.93 26.93 26.93°
Element x y z (fractional)
La 0.000 0.000 0.000
Y 0.184 0.184 0.184
Mn 0.435 0.435 0.435
Mn 0.756 0.756 0.756



Record 3
DFT (PBE-GGA) results for Pm2Si3Au9 after structural relaxation.

Output
Spin magnetization: 0.00 μB/cell
Formation energy without anion corrections: -0.40 eV per atom
Fermi-level density of states: 10.816 states/eV/cell
Space group: C2/c, No. 15

Cell: 8.039 8.039 10.708 Å, 112.80 112.80 59.94°
Element x y z (fractional)
Pm 0.085 0.253 0.246
Pm 0.253 0.085 0.746
Pm 0.747 0.915 0.254
Pm 0.915 0.747 0.754
Si 0.000 0.500 0.000
Si 0.140 0.681 0.505
Si 0.319 0.860 0.995
Si 0.500 0.000 0.500
Si 0.681 0.140 0.005
Si 0.860 0.319 0.495
Au 0.015 0.866 0.084
Au 0.134 0.985 0.416
Au 0.193 0.581 0.265
Au 0.194 0.359 0.573
Au 0.293 0.489 0.935
Au 0.351 0.649 0.750
Au 0.359 0.194 0.073
Au 0.419 0.807 0.235
Au 0.489 0.293 0.435
Au 0.511 0.707 0.565
Au 0.581 0.193 0.765
Au 0.641 0.806 0.927
Au 0.649 0.351 0.250
Au 0.707 0.511 0.065
Au 0.806 0.641 0.427
Au 0.807 0.419 0.735
Au 0.866 0.015 0.584
Au 0.985 0.134 0.916



- The highest spin magnetization belongs to which entry?
  Mn2ZnS4